1.
Density functional theory data (PBE-GGA) for a geometry-optimized La3Pr3Hg4 structure.

a b c (Å): 3.889 9.010 9.010
angles (deg): 89.84 90.00 90.00
Atoms (fractional coordinates):
La (0.500, 0.836, 0.164)
La (0.500, 0.335, 0.336)
La (0.500, 0.664, 0.665)
Pr (0.000, 0.498, 0.999)
Pr (0.000, 0.001, 0.502)
Pr (0.500, 0.165, 0.835)
Hg (0.000, 0.632, 0.368)
Hg (0.000, 0.366, 0.634)
Hg (0.000, 0.870, 0.867)
Hg (0.000, 0.133, 0.130)

Calculated values
Energy relative to the elements ... -0.367 eV/atom


2.
Density functional theory data (PBE-GGA) for a geometry-optimized TmGa6Ag structure.

a b c (Å): 4.410 6.087 6.087
angles (deg): 69.61 90.00 90.00
Atoms (fractional coordinates):
Tm (0.500, 0.000, 0.000)
Ga (0.000, 0.708, 0.292)
Ga (0.000, 0.292, 0.708)
Ga (0.000, 0.783, 0.783)
Ga (0.000, 0.217, 0.217)
Ga (0.500, 0.500, 0.000)
Ga (0.500, 0.000, 0.500)
Ag (0.500, 0.500, 0.500)

Calculated values
Energy relative to the elements ... -0.193 eV/atom


3.
Density functional theory data (PBE-GGA) for a geometry-optimized AcPa2ZnO8 structure.

a b c (Å): 3.925 5.784 7.514
angles (deg): 96.21 90.00 90.00
Atoms (fractional coordinates):
Ac (0.000, 0.000, 0.500)
Pa (0.500, 0.535, 0.759)
Pa (0.500, 0.465, 0.241)
Zn (0.000, 0.000, 0.000)
O (0.000, 0.647, 0.264)
O (0.500, 0.728, 0.034)
O (0.000, 0.199, 0.214)
O (0.000, 0.353, 0.736)
O (0.500, 0.272, 0.966)
O (0.000, 0.801, 0.786)
O (0.500, 0.726, 0.514)
O (0.500, 0.274, 0.486)

Calculated values
Energy relative to the elements, uncorrected ... -2.966 eV/atom


Values for total energy, eV/cell, ordered as above
-34.00; -27.02; -99.63